# YCrPb, optimized geometry, DFT PBE
# **Energy of formation**: 543 meV per atom
# **Total moment**: 4.70 μB per cell
data_YCrPb
_symmetry_space_group_name_H-M 'P 1'
_symmetry_Int_Tables_number 1
_cell_length_a 5.0218
_cell_length_b 5.0218
_cell_length_c 5.0218
_cell_angle_alpha 60.00
_cell_angle_beta 60.00
_cell_angle_gamma 60.00
loop_
_symmetry_equiv_pos_as_xyz
'x,y,z'
loop_
_atom_site_label
_atom_site_type_symbol
_atom_site_fract_x
_atom_site_fract_y
_atom_site_fract_z
Y1 Y 0.0000 0.0000 0.0000
Cr1 Cr 0.7500 0.7500 0.7500
Pb1 Pb 0.2500 0.2500 0.2500